# 1
A relaxed ZnIn2 crystal, computed with GGA-PBEsol.

CIF file:
```
data_ZnIn2
_cell_length_a 4.4749
_cell_length_b 4.4749
_cell_length_c 3.9145
_cell_angle_alpha 90.00
_cell_angle_beta 90.00
_cell_angle_gamma 120.00
_space_group_name_H-M_alt 'P -3 m 1'
_space_group_IT_number 164
_space_group_name_Hall '-P 3 2"'
loop_
_atom_site_label
_atom_site_fract_x
_atom_site_fract_y
_atom_site_fract_z
_atom_site_occupancy
Zn1 0.0000 0.0000 0.0000 1
In1 0.3333 0.6667 0.2820 1
```

## Properties
energy relative to the elements	0.112	eV per atom


# 2
A relaxed ZnIn2 crystal, computed with GGA-PBEsol.

CIF file:
```
data_ZnIn2
_cell_length_a 6.876
_cell_length_b 6.876
_cell_length_c 5.432
_cell_angle_alpha 90.00
_cell_angle_beta 90.00
_cell_angle_gamma 90.00
_space_group_name_H-M_alt 'I 4/m c m'
_space_group_IT_number 140
_space_group_name_Hall '-I 4 2c'
loop_
_atom_site_label
_atom_site_fract_x
_atom_site_fract_y
_atom_site_fract_z
_atom_site_occupancy
Zn1 0.000 0.000 0.250 1
In1 0.157 0.343 0.000 1
```

## Properties
energy relative to the elements	0.029	eV per atom


# 3
A relaxed ZnIn crystal, computed with GGA-PBEsol.

CIF file:
```
data_ZnIn
_cell_length_a 4.063
_cell_length_b 4.164
_cell_length_c 5.138
_cell_angle_alpha 90.00
_cell_angle_beta 112.60
_cell_angle_gamma 90.00
_space_group_name_H-M_alt 'P 1 21/m 1'
_space_group_IT_number 11
loop_
_space_group_symop_operation_xyz
'x,y,z'
'-x,-y,-z'
'-x,y+1/2,-z'
'x,-y+1/2,z'
loop_
_atom_site_label
_atom_site_fract_x
_atom_site_fract_y
_atom_site_fract_z
_atom_site_occupancy
Zn1 0.074 0.250 0.153 1
In1 0.363 0.250 0.721 1
```

## Properties
energy relative to the elements	0.059	eV per atom